Density functional theory data (PBE-GGA) for a geometry-optimized MoIr6Ru structure.

Cell: 3.874 5.480 5.480 Å, 90.00 90.00 90.00°
Sites, in units of the cell vectors:
Mo  0.500  0.500  0.500
Ir  0.500  0.000  0.500
Ir  0.500  0.500  0.000
Ir  0.000  0.250  0.250
Ir  0.000  0.750  0.750
Ir  0.000  0.750  0.250
Ir  0.000  0.250  0.750
Ru  0.500  0.000  0.000

Output
Magnetization in μB/f.u.: 0.000
Symmetry: P4/mmm
Energy relative to the elements in eV per atom: -0.134
Density in g/cm3: 19.3